Entry from Alexandria via LeMat-Bulk: a geometry-optimized Zr2NiGe structure (PBE). Values from VASP.

The structure in Quantum ESPRESSO input format:
```
&SYSTEM
  ibrav = 0, nat = 4, ntyp = 3
/
ATOMIC_SPECIES
Ge 72.64 Ge.upf
Zr 91.22 Zr.upf
Ni 58.69 Ni.upf
ATOMIC_POSITIONS angstrom
Ge 3.9888 4.0373 4.8374
Zr 3.9888 1.7533 0.8069
Zr 5.9832 2.8946 2.9871
Ni 3.9888 1.7367 4.2280
CELL_PARAMETERS angstrom
3.9888 0.0000 0.0000
1.9944 3.4540 0.0160
1.9944 1.1258 5.5334
```

Output
For the total energy, the calculation gives -7.263 eV/atom. Its formation energy is -0.39 eV per atom. Its total moment is 0.000 μB per formula unit.

=====

Entry from Alexandria via LeMat-Bulk: a geometry-optimized ZrNi2Ge2 structure (PBE). Values from VASP.

The structure in Quantum ESPRESSO input format:
```
&SYSTEM
  ibrav = 0, nat = 10, ntyp = 3
/
ATOMIC_SPECIES
Ni 58.69 Ni.upf
Ge 72.64 Ge.upf
Zr 91.22 Zr.upf
ATOMIC_POSITIONS angstrom
Ni 0.6019 -1.2291 3.3713
Ni 0.6064 -1.2227 5.8879
Ni 0.9171 3.3917 0.2800
Ni 0.9216 3.3981 2.7966
Ge -0.1924 2.5644 4.6259
Ge 1.7159 -0.3955 1.5420
Ge 2.5191 2.2712 1.5383
Ge -0.9955 -0.1023 4.6296
Zr 2.1234 0.9378 4.6259
Zr -0.5999 1.2312 1.5420
CELL_PARAMETERS angstrom
5.4353 -0.5870 -0.0037
-2.3961 4.9139 -0.0037
-1.5158 -2.1579 6.1752
```

Output
For the total energy, the calculation gives -6.348 eV/atom. Its formation energy is -0.48 eV per atom. Its total moment is 0.000 μB per formula unit.

=====

Entry from Alexandria via LeMat-Bulk: a geometry-optimized ZrNi3Ge2 structure (PBE). Values from VASP.

The structure in Quantum ESPRESSO input format:
```
&SYSTEM
  ibrav = 0, nat = 18, ntyp = 3
/
ATOMIC_SPECIES
Zr 91.22 Zr.upf
Ge 72.64 Ge.upf
Ni 58.69 Ni.upf
ATOMIC_POSITIONS angstrom
Zr 2.8431 -5.3405 0.9263
Zr -2.4488 -4.8457 -1.1338
Zr 0.0000 0.0000 0.0000
Ge 3.1400 -5.4690 3.7824
Ge -2.7457 -4.7173 -3.9900
Ge 1.3224 -7.8863 1.3622
Ge 0.0987 -5.9658 -1.7798
Ge -0.9281 -2.2999 -1.5698
Ge 0.2955 -4.2204 1.5722
Ni 1.4832 -7.7259 -1.0653
Ni -0.1017 -6.2233 0.5811
Ni 2.9971 -7.6490 2.9684
Ni -1.3032 -7.8318 -1.0220
Ni 1.6974 -2.3545 0.8145
Ni 0.4959 -3.9629 -0.7886
Ni 1.7623 -3.4296 3.1616
Ni -2.6029 -2.5372 -3.1759
Ni -1.0889 -2.4603 0.8577
CELL_PARAMETERS angstrom
-2.4817 -0.8505 2.7133
-3.1303 -3.3271 -6.5308
6.0062 -6.0086 3.6099
```

Output
For the total energy, the calculation gives -6.394 eV/atom. Its formation energy is -0.54 eV per atom. Its total moment is 0.000 μB per formula unit.

=====

Entry from Alexandria via LeMat-Bulk: a geometry-optimized ZrNi3Ge structure (PBE). Values from VASP.

The structure in Quantum ESPRESSO input format:
```
&SYSTEM
  ibrav = 0, nat = 10, ntyp = 3
/
ATOMIC_SPECIES
Ni 58.69 Ni.upf
Ge 72.64 Ge.upf
Zr 91.22 Zr.upf
ATOMIC_POSITIONS angstrom
Ni -2.2503 0.8265 -0.6425
Ni -2.8268 3.1226 -0.1904
Ni -3.5984 0.0816 1.4215
Ni -0.1812 1.9488 2.7206
Ni -3.0219 -2.2146 0.9694
Ni -5.6675 -1.0407 -1.9416
Ge -0.5765 2.2962 0.4521
Ge -3.4802 -0.3980 -2.4167
Zr -0.8532 -0.4902 1.4015
Zr -4.9955 1.3982 -0.6225
CELL_PARAMETERS angstrom
-1.1530 4.5923 0.9042
-6.9605 -0.7960 -4.8334
2.2648 -2.8883 4.7082
```

Output
For the total energy, the calculation gives -6.486 eV/atom. Its formation energy is -0.38 eV per atom. Its total moment is 0.000 μB per formula unit.

=====

Entry from Alexandria via LeMat-Bulk: a geometry-optimized ZrNi4Ge2 structure (PBE). Values from VASP.

The structure in Quantum ESPRESSO input format:
```
&SYSTEM
  ibrav = 0, nat = 14, ntyp = 3
/
ATOMIC_SPECIES
Ni 58.69 Ni.upf
Ge 72.64 Ge.upf
Zr 91.22 Zr.upf
ATOMIC_POSITIONS angstrom
Ni -1.1843 -4.1195 -1.9849
Ni -0.3603 -5.8494 -3.6839
Ni 1.9031 -1.3643 -1.0164
Ni 3.7529 -5.4100 -2.1365
Ni 1.3140 -5.3894 -5.6167
Ni 2.9289 -3.6800 -0.4374
Ni -0.4820 -1.6191 -1.9137
Ni 3.6990 -5.1346 -4.7194
Ge 1.9800 -6.2252 -3.4950
Ge -1.0336 -3.6591 -4.3105
Ge 0.5886 -3.3043 -0.6263
Ge 4.2506 -3.0946 -2.3226
Zr 1.6085 -3.3768 -3.3166
Zr -0.3242 -1.3879 1.2559
CELL_PARAMETERS angstrom
-0.6484 -2.7758 2.5118
-3.0471 -3.8743 -5.0681
6.2641 -2.8794 -1.5650
```

Output
For the total energy, the calculation gives -6.330 eV/atom. Its formation energy is -0.49 eV per atom. Its total moment is 0.000 μB per formula unit.

=====

Entry from Alexandria via LeMat-Bulk: a geometry-optimized ZrNi12Ge6 structure (PBE). Values from VASP.

The structure in Quantum ESPRESSO input format:
```
&SYSTEM
  ibrav = 0, nat = 19, ntyp = 3
/
ATOMIC_SPECIES
Ge 72.64 Ge.upf
Ni 58.69 Ni.upf
Zr 91.22 Zr.upf
ATOMIC_POSITIONS angstrom
Ge -1.6752 -3.7250 -1.0653
Ge -0.0090 -5.2758 0.9182
Ge -4.1970 -3.2828 0.5348
Ge 0.8751 -3.0617 2.7707
Ge -3.3129 -1.0687 2.3873
Ge -1.6468 -2.6195 4.3708
Ni -3.8828 -3.7501 -1.6892
Ni -3.3905 -3.5111 2.8612
Ni 1.9876 -4.9086 1.9868
Ni -1.0297 -4.6346 3.0773
Ni -2.2923 -1.7099 0.2282
Ni -2.4673 -5.0085 0.9149
Ni -3.0878 -0.8581 4.6607
Ni -0.8547 -1.3360 2.3906
Ni 0.0685 -2.8334 0.4443
Ni -0.2342 -5.4865 -1.3552
Ni 0.5608 -2.5944 4.9947
Ni -5.3096 -1.4359 1.3187
Zr 0.0000 0.0000 0.0000
CELL_PARAMETERS angstrom
-5.5279 1.4131 3.4307
-1.7997 -4.6337 -4.4287
4.0056 -3.1239 4.3035
```

Output
For the total energy, the calculation gives -5.747 eV/atom. Its formation energy is -0.19 eV per atom. Its total moment is 0.000 μB per formula unit.

=====

Entry from Alexandria via LeMat-Bulk: a geometry-optimized Zr4NiGe structure (PBE). Values from VASP.

The structure in Quantum ESPRESSO input format:
```
&SYSTEM
  ibrav = 0, nat = 12, ntyp = 3
/
ATOMIC_SPECIES
Zr 91.22 Zr.upf
Ni 58.69 Ni.upf
Ge 72.64 Ge.upf
ATOMIC_POSITIONS angstrom
Zr 0.0000 2.3049 1.0967
Zr 2.6730 4.3186 1.0967
Zr 0.0000 1.0967 4.3186
Zr 2.6730 5.5268 4.3186
Zr 0.0000 4.3186 5.5268
Zr 2.6730 1.0967 2.3049
Zr 2.6730 2.3049 5.5268
Zr 0.0000 5.5268 2.3049
Ni 4.0095 3.3118 3.3118
Ni 1.3365 3.3118 3.3118
Ge 1.3365 0.0000 0.0000
Ge 4.0095 0.0000 0.0000
CELL_PARAMETERS angstrom
5.3460 0.0000 0.0000
0.0000 6.6235 0.0000
0.0000 0.0000 6.6235
```

Output
For the total energy, the calculation gives -7.919 eV/atom. Its formation energy is -0.49 eV per atom. Its total moment is 0.000 μB per formula unit.

=====

Entry from Alexandria via LeMat-Bulk: a geometry-optimized ZrNi15Ge4 structure (PBE). Values from VASP.

The structure in Quantum ESPRESSO input format:
```
&SYSTEM
  ibrav = 0, nat = 20, ntyp = 3
/
ATOMIC_SPECIES
Ni 58.69 Ni.upf
Ge 72.64 Ge.upf
Zr 91.22 Zr.upf
ATOMIC_POSITIONS angstrom
Ni 0.2963 2.6923 7.1494
Ni 2.3775 9.1450 13.0234
Ni 3.4006 5.5572 10.8037
Ni 1.2051 4.6834 9.9144
Ni 0.5677 5.1801 7.5174
Ni 1.5864 1.5825 5.2843
Ni 2.1079 6.6614 12.6612
Ni 4.3032 7.5348 13.5500
Ni 2.4935 3.5699 8.0440
Ni -0.3394 3.1928 4.7577
Ni 0.6837 -0.3951 2.5380
Ni -0.6066 0.7143 4.4026
Ni 1.4748 7.1674 10.2771
Ni -1.5599 -1.3742 1.5023
Ni -1.2420 1.2151 2.0114
Ge 1.8585 4.0718 5.6544
Ge 3.6691 8.0386 11.1630
Ge 0.9519 2.0855 2.8961
Ge 2.7625 6.0523 8.4047
Zr 0.0000 0.0000 0.0000
CELL_PARAMETERS angstrom
-3.4856 0.2360 0.9757
0.3659 -2.9844 2.0289
4.6211 10.1242 14.0591
```

Output
For the total energy, the calculation gives -5.997 eV/atom. Its formation energy is -0.31 eV per atom. Its total moment is 0.000 μB per formula unit.